Model a:
Computed, not measured: a relaxed structure of VMo2W3 at the PBE level of DFT.

Summary:
- space-group type = No. 2
- spin magnetization (μB/f.u.) = 0.0

a = 2.6946 Å, b = 8.1412 Å, c = 13.0125 Å
α = 46.58°, β = 112.82°, γ = 109.12°
Sites, in units of the cell vectors:
V 0.6713 0.0325 0.3850
V 0.3287 0.9675 0.6150
Mo 0.6166 0.3725 0.3735
Mo 0.3834 0.6275 0.6265
Mo 0.8857 0.1205 0.1316
Mo 0.1143 0.8795 0.8684
W 0.6508 0.7081 0.3811
W 0.8284 0.2054 0.8799
W 0.5262 0.4603 0.1224
W 0.3492 0.2919 0.6189
W 0.4738 0.5397 0.8776
W 0.1716 0.7946 0.1201

Model b:
Computed, not measured: a relaxed structure of VMo2W3 at the PBE level of DFT.

Summary:
- space-group type = No. 10
- spin magnetization (μB/f.u.) = 0.0

a = 4.4749 Å, b = 5.2125 Å, c = 9.9573 Å
α = 78.94°, β = 63.30°, γ = 64.72°
Sites, in units of the cell vectors:
V 0.6662 0.6679 0.0000
V 0.3338 0.3321 0.0000
Mo 0.0000 0.0000 0.0000
Mo 0.5000 0.0000 0.5000
Mo 0.1665 0.6671 0.5000
Mo 0.8335 0.3329 0.5000
W 0.4135 0.6649 0.7541
W 0.2528 0.0000 0.2471
W 0.5865 0.3351 0.2459
W 0.9217 0.6649 0.2459
W 0.0783 0.3351 0.7541
W 0.7472 0.0000 0.7529

The most stable of them is model b.

Model a:
Computed, not measured: a relaxed structure of V6MoW2 at the PBE level of DFT.

Summary:
- space-group type = No. 12
- spin magnetization (μB/f.u.) = 0.0

a = 4.1648 Å, b = 5.9366 Å, c = 7.2548 Å
α = 114.15°, β = 106.91°, γ = 90.00°
Sites, in units of the cell vectors:
V 0.1655 0.4145 0.3312
V 0.8345 0.0833 0.6688
V 0.8345 0.5855 0.6688
V 0.5000 0.2498 0.0000
V 0.1655 0.9167 0.3312
V 0.5000 0.7502 0.0000
Mo 0.0000 0.0000 0.0000
W 0.6665 0.6666 0.3333
W 0.3335 0.3334 0.6667

Model b:
Computed, not measured: a relaxed structure of V6MoW2 at the PBE level of DFT.

Summary:
- space-group type = No. 12
- spin magnetization (μB/f.u.) = 0.0

a = 4.8428 Å, b = 8.8135 Å, c = 8.8135 Å
α = 97.25°, β = 118.24°, γ = 118.24°
Sites, in units of the cell vectors:
V 0.3321 0.3278 0.5068
V 0.1679 0.4932 0.6722
V 0.6679 0.6722 0.4932
V 0.8321 0.5068 0.3278
V 0.9175 0.0842 0.5841
V 0.5825 0.4159 0.9158
V 0.0825 0.9158 0.4159
V 0.4175 0.5841 0.0842
V 0.1679 0.1722 0.9932
V 0.3321 0.0068 0.8278
V 0.8321 0.8278 0.0068
V 0.6679 0.9932 0.1722
Mo 0.2500 0.7500 0.2500
Mo 0.7500 0.2500 0.7500
W 0.0000 0.3323 0.1676
W 0.5000 0.8324 0.6677
W 0.0000 0.6677 0.8324
W 0.5000 0.1676 0.3323

The most stable of them is model b.